1.
Computed, not measured: a crystal of LaZn2Co relaxed with PBEsol at the meta-GGA SCAN level of DFT.

## Properties
Its formation energy from the elements is -0.12 eV/atom. The calculation puts the total magnetic moment at 0.0 μB/f.u. Its space group is Cmcm, No. 63.

The structure in POSCAR format:
```
LaZn2Co
1.0
2.5361 -6.2462 0.0000
2.5361 6.2462 0.0000
0.0000 0.0000 4.3804
La Zn Co
2 4 2
direct
0.2011 0.7989 0.7500
0.7989 0.2011 0.2500
0.2013 0.3129 0.7500
0.3129 0.2013 0.2500
0.6871 0.7987 0.7500
0.7987 0.6871 0.2500
0.3791 0.6209 0.2500
0.6209 0.3791 0.7500
```

=====

2.
Computed, not measured: a crystal of TlTe2As relaxed with PBEsol at the meta-GGA SCAN level of DFT.

## Properties
Its uncorrected formation energy is 0.028 eV/atom. The calculation puts the total magnetic moment at 0.0 μB/f.u. Its space group is C2/m, No. 12.

The structure in POSCAR format:
```
TlTe2As
1.0
6.4441 -2.1703 0.0000
6.4441 2.1703 0.0000
-1.4563 0.0000 4.0902
Tl Te As
1 2 1
direct
0.0000 0.0000 0.0000
0.2682 0.2682 0.2681
0.7318 0.7318 0.7319
0.5000 0.5000 0.5000
```

=====

3.
Computed, not measured: a crystal of Zn12In17 relaxed with PBEsol at the meta-GGA SCAN level of DFT.

## Properties
Its formation energy from the elements is 0.14 eV/atom. The calculation puts the total magnetic moment at 0.0 μB/f.u. Its space group is I-43m, No. 217.

The structure in POSCAR format:
```
Zn12In17
1.0
-5.3096 5.3096 5.3096
5.3096 -5.3096 5.3096
5.3096 5.3096 -5.3096
Zn In
12 17
direct
0.0000 0.6362 0.8191
0.0000 0.8191 0.6362
0.1809 0.1809 0.8171
0.1809 0.8171 0.1809
0.1829 0.3638 0.3638
0.3638 0.1829 0.3638
0.3638 0.3638 0.1829
0.6362 0.0000 0.8191
0.6362 0.8191 0.0000
0.8171 0.1809 0.1809
0.8191 0.0000 0.6362
0.8191 0.6362 0.0000
0.0000 0.0000 0.0000
0.0000 0.0000 0.3345
0.0000 0.3113 0.5948
0.0000 0.3345 0.0000
0.0000 0.5948 0.3113
0.2835 0.6887 0.6887
0.3113 0.0000 0.5948
0.3113 0.5948 0.0000
0.3345 0.0000 0.0000
0.4052 0.4052 0.7165
0.4052 0.7165 0.4052
0.5948 0.0000 0.3113
0.5948 0.3113 0.0000
0.6655 0.6655 0.6655
0.6887 0.2835 0.6887
0.6887 0.6887 0.2835
0.7165 0.4052 0.4052
```